1.
# Te3Au

An optimized crystal structure of Te3Au (PBE, Alexandria). Values from VASP.

Calculated values
E_tot in eV per atom: -2.6991
Mass density in g/cm3: 9.095
Formation energy without anion corrections in eV/atom: 0.48
Size of the total moment in μB per cell: 0.00
Crystal system: cubic

Structure (Quantum ESPRESSO input):
```
&SYSTEM
  ibrav = 0, nat = 4, ntyp = 2
/
ATOMIC_SPECIES
Te 127.60 Te.upf
Au 196.97 Au.upf
CELL_PARAMETERS angstrom
4.7304 0.0000 0.0000
0.0000 4.7304 0.0000
0.0000 0.0000 4.7304
ATOMIC_POSITIONS angstrom
Te 0.0000 0.0000 2.3652
Te 0.0000 2.3652 0.0000
Te 2.3652 0.0000 0.0000
Au 2.3652 2.3652 2.3652
```


2.
# Te3Au5

An optimized crystal structure of Te3Au5 (PBE, Alexandria). Values from VASP.

Calculated values
E_tot in eV per atom: -3.0103
Mass density in g/cm3: 12.822
Formation energy without anion corrections in eV/atom: 0.22
Size of the total moment in μB per cell: 0.00
Crystal system: orthorhombic

Structure (Quantum ESPRESSO input):
```
&SYSTEM
  ibrav = 0, nat = 8, ntyp = 2
/
ATOMIC_SPECIES
Te 127.60 Te.upf
Au 196.97 Au.upf
CELL_PARAMETERS angstrom
4.3505 -4.7988 0.0000
4.3505 4.7988 0.0000
0.0000 0.0000 4.2419
ATOMIC_POSITIONS angstrom
Te 0.0000 0.0000 0.0000
Te 4.3505 1.9656 2.1210
Te 4.3505 -1.9656 2.1210
Au 2.1753 2.3994 0.0000
Au 2.1041 0.0000 2.1210
Au 2.1753 -2.3994 0.0000
Au 4.3505 0.0000 0.0000
Au 6.5970 0.0000 2.1210
```


3.
# TeAu

An optimized crystal structure of TeAu (PBE, Alexandria). Values from VASP.

Calculated values
E_tot in eV per atom: -3.2044
Mass density in g/cm3: 9.188
Formation energy without anion corrections in eV/atom: 0.01
Size of the total moment in μB per cell: 0.00
Crystal system: orthorhombic

Structure (Quantum ESPRESSO input):
```
&SYSTEM
  ibrav = 0, nat = 4, ntyp = 2
/
ATOMIC_SPECIES
Te 127.60 Te.upf
Au 196.97 Au.upf
CELL_PARAMETERS angstrom
0.0000 6.3847 4.0839
2.2497 0.0000 4.0839
2.2497 6.3847 0.0000
ATOMIC_POSITIONS angstrom
Te 2.2497 1.5008 4.0839
Te 2.2497 11.2686 4.0839
Au 2.2497 4.2042 5.5330
Au 2.2497 8.5653 5.5330
```